Entry 1:
An optimized crystal structure of SmPbI6. Source: the Alexandria database, functional GGA-PBE.

Values from the calculation:
**Symmetry**: P-1, No. 2
**Energy relative to the elements, uncorrected**: -78.5 kJ/mol of atoms
**Mass density**: 5135 kg/m3

Cell lengths 7.7727, 7.7796, 8.2320 Å; angles 61.91, 61.87, 60.04 degrees
Last column: nearest neighbours and their distance in Å.
Fractional positions:
Sm: 0.0000 0.0000 0.0000  6 I 3.09
Pb: 0.5000 0.5000 0.5000  6 I 3.22
I: 0.0642 0.7586 0.7543  1 Sm 3.09, 1 Pb 3.22
I: 0.2417 0.5776 0.2448  1 Sm 3.09, 1 Pb 3.22
I: 0.4224 0.0649 0.7544  1 Sm 3.09, 1 Pb 3.22
I: 0.5776 0.9351 0.2456  1 Sm 3.09, 1 Pb 3.22
I: 0.7583 0.4224 0.7552  1 Sm 3.09, 1 Pb 3.22
I: 0.9358 0.2414 0.2457  1 Sm 3.09, 1 Pb 3.22

Entry 2:
An optimized crystal structure of ScHg2Ru. Source: the Alexandria database, functional GGA-PBE.

Values from the calculation:
**Symmetry**: I4/mmm, No. 139
**Distance to the lowest polymorph of the same formula**: 0 meV/atom
**Mass density**: 12181 kg/m3

Cell lengths 5.2850, 5.2850, 5.2850 Å; angles 134.22, 134.22, 66.74 degrees
Last column: nearest neighbours and their distance in Å.
Fractional positions:
Sc: 0.0000 0.0000 0.0000  4 Ru 2.91, 8 Hg 3.02
Hg: 0.2500 0.7500 0.5000  4 Hg 2.91, 4 Ru 3.02, 4 Sc 3.02
Hg: 0.7500 0.2500 0.5000  4 Hg 2.91, 4 Ru 3.02, 4 Sc 3.02
Ru: 0.5000 0.5000 0.0000  4 Sc 2.91, 8 Hg 3.02

Entry 3:
An optimized crystal structure of Na2PuThTe4. Source: the Alexandria database, functional GGA-PBE.

Values from the calculation:
**Symmetry**: P2/m, No. 10
**Energy relative to the elements, uncorrected**: -106.2 kJ/mol of atoms
**Mass density**: 6432 kg/m3

Cell lengths 7.7974, 4.5106, 8.0100 Å; angles 90.00, 108.91, 90.00 degrees
Last column: nearest neighbours and their distance in Å.
Fractional positions:
Na: 0.0000 0.0000 0.0000  6 Te 3.27-3.29
Na: 0.5000 0.5000 0.0000  6 Te 3.24-3.27
Pu: 0.0000 0.5000 0.5000  6 Te 3.18-3.19
Th: 0.5000 0.0000 0.5000  6 Te 3.14-3.17
Te: 0.2488 0.0000 0.7378  1 Th 3.14, 2 Pu 3.18, 3 Na 3.27-3.29
Te: 0.2553 0.5000 0.2591  2 Th 3.17, 1 Pu 3.19, 3 Na 3.24-3.27
Te: 0.7447 0.5000 0.7409  2 Th 3.17, 1 Pu 3.19, 3 Na 3.24-3.27
Te: 0.7512 0.0000 0.2622  1 Th 3.14, 2 Pu 3.18, 3 Na 3.27-3.29

Which value of mass density does entry 2 give? 12181 kg/m3